Entry 1:
A plane-wave DFT calculation with PBE was carried out for a relaxed HfMnPt4 crystal.

Computed properties:
Excess energy over the best structure of this formula in the dataset ... 61 meV/atom
ΔH_f (0 K) ... -0.519 eV per atom

Lattice parameters (Å, degrees): 4.579 4.579 7.848 115.61 115.61 50.98
Fractional positions:
Hf 0.000 0.000 0.000
Mn 0.000 0.000 0.500
Pt 0.244 0.244 0.866
Pt 0.256 0.256 0.383
Pt 0.744 0.744 0.617
Pt 0.756 0.756 0.134

***

Entry 2:
A plane-wave DFT calculation with PBE was carried out for a relaxed Hf3MnPt crystal.

Computed properties:
Excess energy over the best structure of this formula in the dataset ... 293 meV/atom
ΔH_f (0 K) ... 0.518 eV per atom

Lattice parameters (Å, degrees): 5.044 5.044 5.044 90.00 90.00 90.00
Fractional positions:
Hf 0.000 0.000 0.500
Hf 0.000 0.500 0.000
Hf 0.500 0.000 0.000
Mn 0.500 0.500 0.500
Pt 0.000 0.000 0.000

***

Entry 3:
A plane-wave DFT calculation with PBE was carried out for a relaxed HfMnPt2 crystal.

Computed properties:
ΔH_f (0 K) ... -0.244 eV per atom

Lattice parameters (Å, degrees): 9.375 9.375 9.375 155.38 155.38 35.09
Fractional positions:
Hf 0.000 0.000 0.000
Hf 0.750 0.250 0.500
Mn 0.250 0.750 0.500
Mn 0.500 0.500 0.000
Pt 0.138 0.625 0.013
Pt 0.375 0.388 0.513
Pt 0.612 0.125 0.987
Pt 0.875 0.862 0.487